The following is a DFT calculation (PBE) of Tb6CeHo2 after structural relaxation.

abc: 10.063 10.063 6.004
angles: 95.70 95.70 70.23
Fractional coordinates of all 18 atoms:
Tb 0.051 0.823 0.957
Tb 0.162 0.388 0.118
Tb 0.177 0.949 0.543
Tb 0.285 0.509 0.702
Tb 0.388 0.162 0.618
Tb 0.491 0.715 0.798
Tb 0.509 0.285 0.202
Tb 0.612 0.838 0.382
Tb 0.715 0.491 0.298
Tb 0.823 0.051 0.457
Tb 0.838 0.612 0.882
Tb 0.949 0.177 0.043
Ce 0.346 0.654 0.250
Ce 0.654 0.346 0.750
Ho 0.024 0.315 0.581
Ho 0.315 0.024 0.081
Ho 0.685 0.976 0.919
Ho 0.976 0.685 0.419

Properties
Excess energy over the best structure of this formula in the dataset (eV/atom): 0.0358
SG: C2/c
Fermi-level density of states (states/eV per cell): 32.42
Electronic total energy (eV/cell): -83.5

***

The following is a DFT calculation (PBE) of PuPH2Rh after structural relaxation.

abc: 5.406 5.406 6.110
angles: 90.00 90.00 138.42
Fractional coordinates of all 10 atoms:
Pu 0.216 0.784 0.750
Pu 0.784 0.216 0.250
P 0.067 0.933 0.250
P 0.933 0.067 0.750
H 0.333 0.667 0.066
H 0.333 0.667 0.434
H 0.667 0.333 0.566
H 0.667 0.333 0.934
Rh 0.500 0.500 0.000
Rh 0.500 0.500 0.500

Properties
SG: Cmcm
Fermi-level density of states (states/eV per cell): 17.78
Electronic total energy (eV/cell): -73.5

***

The following is a DFT calculation (PBE) of Pm2Dy5Th5 after structural relaxation.

abc: 7.998 7.998 11.325
angles: 115.18 115.18 36.80
Fractional coordinates of all 12 atoms:
Pm 0.084 0.084 0.249
Pm 0.916 0.916 0.751
Dy 0.332 0.332 0.495
Dy 0.415 0.415 0.252
Dy 0.500 0.500 0.000
Dy 0.585 0.585 0.748
Dy 0.668 0.668 0.505
Th 0.000 0.000 0.500
Th 0.170 0.170 0.002
Th 0.248 0.248 0.753
Th 0.752 0.752 0.247
Th 0.830 0.830 0.998

Properties
SG: C2/m
Fermi-level density of states (states/eV per cell): 17.65
Electronic total energy (eV/cell): -69.0

***

The following is a DFT calculation (PBE) of KHgPt2 after structural relaxation.

abc: 9.573 2.901 6.740
angles: 90.00 96.72 90.00
Fractional coordinates of all 8 atoms:
K 0.000 0.000 0.000
K 0.500 0.500 0.000
Hg 0.000 0.500 0.500
Hg 0.500 0.000 0.500
Pt 0.240 0.000 0.671
Pt 0.260 0.500 0.329
Pt 0.740 0.500 0.671
Pt 0.760 0.000 0.329

Properties
SG: C2/m
Fermi-level density of states (states/eV per cell): 4.36
Electronic total energy (eV/cell): -25.8

***

The following is a DFT calculation (PBE) of Be2ZnNi2 after structural relaxation.

abc: 6.411 6.411 2.515
angles: 90.00 90.00 90.00
Fractional coordinates of all 10 atoms:
Be 0.153 0.347 0.000
Be 0.347 0.847 0.000
Be 0.653 0.153 0.000
Be 0.847 0.653 0.000
Zn 0.000 0.000 0.500
Zn 0.500 0.500 0.500
Ni 0.141 0.641 0.500
Ni 0.359 0.141 0.500
Ni 0.641 0.859 0.500
Ni 0.859 0.359 0.500

Properties
Excess energy over the best structure of this formula in the dataset (eV/atom): 0.0994
SG: P4/mbm
Fermi-level density of states (states/eV per cell): 3.66
Electronic total energy (eV/cell): -42.8

***

The following is a DFT calculation (PBE) of VSn2RhSe after structural relaxation.

abc: 5.277 5.277 4.414
angles: 90.00 90.00 90.00
Fractional coordinates of all 5 atoms:
V 0.000 0.000 0.000
Sn 0.000 0.500 0.500
Sn 0.500 0.000 0.500
Rh 0.500 0.500 0.000
Se 0.000 0.000 0.500

Properties
SG: P4/mmm
Fermi-level density of states (states/eV per cell): 5.85
E_form (uncorrected) (eV/atom): 0.970
Electronic total energy (eV/cell): -23.1

***

The following is a DFT calculation (PBE) of Nb2ReMo5 after structural relaxation.

abc: 5.451 10.635 4.528
angles: 90.00 90.00 90.00
Fractional coordinates of all 16 atoms:
Nb 0.164 0.122 0.000
Nb 0.336 0.622 0.000
Nb 0.664 0.378 0.000
Nb 0.836 0.878 0.000
Re 0.000 0.000 0.500
Re 0.500 0.500 0.500
Mo 0.000 0.500 0.500
Mo 0.159 0.753 0.500
Mo 0.165 0.382 0.000
Mo 0.335 0.882 0.000
Mo 0.341 0.253 0.500
Mo 0.500 0.000 0.500
Mo 0.659 0.747 0.500
Mo 0.665 0.118 0.000
Mo 0.835 0.618 0.000
Mo 0.841 0.247 0.500

Properties
SG: Pbam
Fermi-level density of states (states/eV per cell): 13.28
Electronic total energy (eV/cell): -173.1

***

The following is a DFT calculation (PBE) of Dy2CuAgSe4 after structural relaxation.

abc: 6.732 4.125 7.172
angles: 90.00 111.35 90.00
Fractional coordinates of all 8 atoms:
Dy 0.000 0.000 0.000
Dy 0.000 0.500 0.500
Cu 0.500 0.000 0.500
Ag 0.500 0.500 0.000
Se 0.254 0.000 0.747
Se 0.261 0.500 0.262
Se 0.739 0.500 0.738
Se 0.746 0.000 0.253

Properties
SG: P2/m
E_form (uncorrected) (eV/atom): -1.103
Electronic total energy (eV/cell): -38.9

***

The following is a DFT calculation (PBE) of ZrSc3Al after structural relaxation.

abc: 5.655 8.188 5.405
angles: 90.00 115.12 90.00
Fractional coordinates of all 10 atoms:
Zr 0.000 0.224 0.250
Zr 0.000 0.776 0.750
Sc 0.299 0.127 0.880
Sc 0.299 0.873 0.380
Sc 0.500 0.439 0.250
Sc 0.500 0.561 0.750
Sc 0.701 0.127 0.620
Sc 0.701 0.873 0.120
Al 0.000 0.424 0.750
Al 0.000 0.576 0.250

Properties
Excess energy over the best structure of this formula in the dataset (eV/atom): 0.0000
SG: P2/c
Fermi-level density of states (states/eV per cell): 16.20
Electronic total energy (eV/cell): -63.0

***

The following is a DFT calculation (PBE) of RbHSeBr2 after structural relaxation.

abc: 5.857 5.857 3.670
angles: 90.00 90.00 90.00
Fractional coordinates of all 5 atoms:
Rb 0.000 0.000 0.000
H 0.500 0.500 0.500
Se 0.500 0.500 0.000
Br 0.000 0.500 0.500
Br 0.500 0.000 0.500

Properties
Excess energy over the best structure of this formula in the dataset (eV/atom): 0.0000
SG: P4/mmm
Fermi-level density of states (states/eV per cell): 3.64
Electronic total energy (eV/cell): -12.6

***

The following is a DFT calculation (PBE) of ZrTaTc2 after structural relaxation.

abc: 3.208 4.735 9.060
angles: 90.00 90.00 90.00
Fractional coordinates of all 8 atoms:
Zr 0.000 0.000 0.000
Zr 0.500 0.500 0.000
Ta 0.000 0.500 0.282
Ta 0.500 0.000 0.282
Tc 0.000 0.000 0.517
Tc 0.000 0.500 0.748
Tc 0.500 0.000 0.748
Tc 0.500 0.500 0.517

Properties
SG: Cmm2
Fermi-level density of states (states/eV per cell): 6.79
Electronic total energy (eV/cell): -81.9

***

The following is a DFT calculation (PBE) of Sn12Hg5Sb3 after structural relaxation.

abc: 15.361 15.361 15.361
angles: 109.47 109.47 109.47
Fractional coordinates of all 80 atoms:
Sn 0.070 0.226 0.148
Sn 0.070 0.344 0.922
Sn 0.078 0.648 0.422
Sn 0.078 0.726 0.656
Sn 0.078 0.852 0.422
Sn 0.078 0.930 0.656
Sn 0.148 0.070 0.226
Sn 0.148 0.578 0.922
Sn 0.156 0.226 0.578
Sn 0.156 0.430 0.578
Sn 0.226 0.148 0.070
Sn 0.226 0.578 0.156
Sn 0.274 0.344 0.922
Sn 0.274 0.430 0.352
Sn 0.344 0.922 0.070
Sn 0.344 0.922 0.274
Sn 0.352 0.274 0.430
Sn 0.352 0.578 0.922
Sn 0.422 0.078 0.648
Sn 0.422 0.078 0.852
Sn 0.422 0.844 0.570
Sn 0.422 0.844 0.774
Sn 0.430 0.352 0.274
Sn 0.430 0.578 0.156
Sn 0.570 0.422 0.844
Sn 0.570 0.648 0.726
Sn 0.578 0.156 0.226
Sn 0.578 0.156 0.430
Sn 0.578 0.922 0.148
Sn 0.578 0.922 0.352
Sn 0.648 0.422 0.078
Sn 0.648 0.726 0.570
Sn 0.656 0.078 0.726
Sn 0.656 0.078 0.930
Sn 0.726 0.570 0.648
Sn 0.726 0.656 0.078
Sn 0.774 0.422 0.844
Sn 0.774 0.852 0.930
Sn 0.844 0.570 0.422
Sn 0.844 0.774 0.422
Sn 0.852 0.422 0.078
Sn 0.852 0.930 0.774
Sn 0.922 0.070 0.344
Sn 0.922 0.148 0.578
Sn 0.922 0.274 0.344
Sn 0.922 0.352 0.578
Sn 0.930 0.656 0.078
Sn 0.930 0.774 0.852
Hg 0.000 0.000 0.000
Hg 0.000 0.000 0.500
Hg 0.000 0.500 0.000
Hg 0.000 0.500 0.500
Hg 0.125 0.750 0.875
Hg 0.125 0.875 0.250
Hg 0.250 0.125 0.875
Hg 0.250 0.625 0.375
Hg 0.375 0.250 0.625
Hg 0.375 0.625 0.750
Hg 0.500 0.000 0.000
Hg 0.500 0.000 0.500
Hg 0.500 0.500 0.000
Hg 0.500 0.500 0.500
Hg 0.625 0.375 0.250
Hg 0.625 0.750 0.375
Hg 0.750 0.375 0.625
Hg 0.750 0.875 0.125
Hg 0.875 0.125 0.750
Hg 0.875 0.250 0.125
Sb 0.125 0.250 0.375
Sb 0.125 0.375 0.750
Sb 0.250 0.375 0.125
Sb 0.250 0.875 0.625
Sb 0.375 0.125 0.250
Sb 0.375 0.750 0.125
Sb 0.625 0.250 0.875
Sb 0.625 0.875 0.750
Sb 0.750 0.125 0.375
Sb 0.750 0.625 0.875
Sb 0.875 0.625 0.250
Sb 0.875 0.750 0.625

Properties
SG: Ia-3d
Fermi-level density of states (states/eV per cell): 38.76
E_form (uncorrected) (eV/atom): 0.184
Electronic total energy (eV/cell): -232.9